[1]
This record from the Alexandria database describes crystalline SrTlN2F at its relaxed geometry. The functional is PBE.

Calculated values
distance to the lowest polymorph of the same formula	0.000	eV per atom
crystal system	tetragonal
size of the total moment	1.39	μB/f.u.
formation energy without anion corrections	-0.010	eV per atom
final energy	-4.52	eV per atom

Geometry as CIF:
```
data_SrTlN2F
_cell_length_a 4.308
_cell_length_b 4.308
_cell_length_c 4.702
_cell_angle_alpha 90.00
_cell_angle_beta 90.00
_cell_angle_gamma 90.00
_symmetry_space_group_name_H-M 'P 4/m m m'
_symmetry_Int_Tables_number 123
_symmetry_space_group_name_Hall '-P 4 2'
loop_
_atom_site_label
_atom_site_fract_x
_atom_site_fract_y
_atom_site_fract_z
Sr1 0.000 0.000 0.000
Tl1 0.500 0.500 0.500
N1 0.000 0.500 0.500
F1 0.500 0.500 0.000
```



[2]
This record from the Alexandria database describes crystalline Li2LuIn at its relaxed geometry. The functional is PBE.

Calculated values
distance to the lowest polymorph of the same formula	0.133	eV per atom
crystal system	tetragonal
size of the total moment	0.00	μB/f.u.
final energy	-2.88	eV per atom

Geometry as CIF:
```
data_Li2LuIn
_cell_length_a 4.477
_cell_length_b 4.477
_cell_length_c 4.475
_cell_angle_alpha 90.00
_cell_angle_beta 90.00
_cell_angle_gamma 90.00
_symmetry_space_group_name_H-M 'P 4/m m m'
_symmetry_Int_Tables_number 123
_symmetry_space_group_name_Hall '-P 4 2'
loop_
_atom_site_label
_atom_site_fract_x
_atom_site_fract_y
_atom_site_fract_z
Li1 0.000 0.500 0.000
Lu1 0.000 0.000 0.500
In1 0.500 0.500 0.500
```



[3]
This record from the Alexandria database describes crystalline Er2ZnHg at its relaxed geometry. The functional is PBE.

Calculated values
distance to the lowest polymorph of the same formula	0.000	eV per atom
crystal system	tetragonal
size of the total moment	0.00	μB/f.u.
final energy	-3.09	eV per atom

Geometry as CIF:
```
data_Er2ZnHg
_cell_length_a 3.579
_cell_length_b 3.579
_cell_length_c 7.350
_cell_angle_alpha 90.00
_cell_angle_beta 90.00
_cell_angle_gamma 90.00
_symmetry_space_group_name_H-M 'P 4/m m m'
_symmetry_Int_Tables_number 123
_symmetry_space_group_name_Hall '-P 4 2'
loop_
_atom_site_label
_atom_site_fract_x
_atom_site_fract_y
_atom_site_fract_z
Er1 0.000 0.000 0.234
Zn1 0.500 0.500 0.000
Hg1 0.500 0.500 0.500
```



[4]
This record from the Alexandria database describes crystalline Ti2ZnHRu at its relaxed geometry. The functional is PBE.

Calculated values
distance to the lowest polymorph of the same formula	0.000	eV per atom
crystal system	tetragonal
size of the total moment	0.00	μB/f.u.
final energy	-6.28	eV per atom

Geometry as CIF:
```
data_Ti2ZnHRu
_cell_length_a 4.124
_cell_length_b 4.124
_cell_length_c 3.685
_cell_angle_alpha 90.00
_cell_angle_beta 90.00
_cell_angle_gamma 90.00
_symmetry_space_group_name_H-M 'P 4/m m m'
_symmetry_Int_Tables_number 123
_symmetry_space_group_name_Hall '-P 4 2'
loop_
_atom_site_label
_atom_site_fract_x
_atom_site_fract_y
_atom_site_fract_z
Ti1 0.000 0.500 0.000
Zn1 0.000 0.000 0.500
H1 0.500 0.500 0.000
Ru1 0.500 0.500 0.500
```



[5]
This record from the Alexandria database describes crystalline Sm5YIn5 at its relaxed geometry. The functional is PBE.

Calculated values
crystal system	monoclinic
size of the total moment	0.00	μB/f.u.
final energy	-4.21	eV per atom

Geometry as CIF:
```
data_Sm5YIn5
_cell_length_a 17.951
_cell_length_b 5.779
_cell_length_c 6.976
_cell_angle_alpha 90.00
_cell_angle_beta 112.65
_cell_angle_gamma 90.00
_symmetry_space_group_name_H-M 'C 1 2/m 1'
_symmetry_Int_Tables_number 12
loop_
_symmetry_equiv_pos_as_xyz
'x,y,z'
'-x,-y,-z'
'-x,y,-z'
'x,-y,z'
'x+1/2,y+1/2,z'
'-x+1/2,-y+1/2,-z'
'-x+1/2,y+1/2,-z'
'x+1/2,-y+1/2,z'
loop_
_atom_site_label
_atom_site_fract_x
_atom_site_fract_y
_atom_site_fract_z
Sm1 0.000 0.000 0.000
Sm2 0.139 0.500 0.141
Sm3 0.187 0.500 0.689
Y1 0.000 0.000 0.500
In1 0.000 0.500 0.500
In2 0.164 0.000 0.439
In3 0.164 0.000 0.889
```



[6]
This record from the Alexandria database describes crystalline AlCr2Cd at its relaxed geometry. The functional is PBE.

Calculated values
crystal system	tetragonal
size of the total moment	6.46	μB/f.u.
final energy	-5.69	eV per atom

Geometry as CIF:
```
data_AlCr2Cd
_cell_length_a 3.115
_cell_length_b 3.115
_cell_length_c 6.679
_cell_angle_alpha 90.00
_cell_angle_beta 90.00
_cell_angle_gamma 90.00
_symmetry_space_group_name_H-M 'P 4/m m m'
_symmetry_Int_Tables_number 123
_symmetry_space_group_name_Hall '-P 4 2'
loop_
_atom_site_label
_atom_site_fract_x
_atom_site_fract_y
_atom_site_fract_z
Al1 0.000 0.000 0.000
Cr1 0.500 0.500 0.225
Cd1 0.000 0.000 0.500
```